# 1
DFT (GGA-PBE) results for crystalline NaCaSn at its relaxed geometry.

Cell: 4.2313 4.2313 5.8074 Å, 111.36 111.36 90.00°
Last column: nearest neighbours and their distance in Å.
Element x y z (fractional)
Ca  0.9414  0.9414  0.8829  5 Na 3.15-3.51, 5 Sn 3.38-3.40
Na  0.6251  0.6251  0.2502  5 Ca 3.15-3.51, 5 Sn 3.38-3.40
Sn  0.2834  0.2834  0.5669  5 Ca 3.38-3.40, 5 Na 3.38-3.40

Computed properties:
Its calculated volume is 89.1 Å³ per cell. For the density of states at the Fermi level, the calculation gives 0.53 states/eV/atom. As for the energy relative to the elements: -28.8 kJ/mol of atoms.


# 2
DFT (GGA-PBE) results for crystalline Rb2TlPbCl6 at its relaxed geometry.

Cell: 7.6709 8.0324 11.0410 Å, 90.00 90.22 90.00°
Last column: nearest neighbours and their distance in Å.
Element x y z (fractional)
Rb  0.9786  0.0666  0.7503  6 Cl 3.36-3.59
Rb  0.4786  0.4334  0.2503  6 Cl 3.36-3.59
Rb  0.5214  0.5666  0.7497  6 Cl 3.36-3.59
Rb  0.0214  0.9334  0.2497  6 Cl 3.36-3.59
Cl  0.2020  0.2014  0.0492  1 Pb 2.85, 1 Tl 2.91
Cl  0.9061  0.5265  0.2513  1 Pb 2.84, 1 Tl 2.88
Cl  0.1985  0.2063  0.4505  1 Pb 2.86, 1 Tl 2.90
Cl  0.5939  0.0265  0.2487  1 Pb 2.84, 1 Tl 2.88
Cl  0.7020  0.2986  0.5492  1 Pb 2.85, 1 Tl 2.91
Cl  0.6985  0.2937  0.9505  1 Pb 2.86, 1 Tl 2.90
Cl  0.2980  0.7014  0.4508  1 Pb 2.85, 1 Tl 2.91
Cl  0.3015  0.7063  0.0495  1 Pb 2.86, 1 Tl 2.90
Cl  0.7980  0.7986  0.9508  1 Pb 2.85, 1 Tl 2.91
Cl  0.0939  0.4735  0.7487  1 Pb 2.84, 1 Tl 2.88
Cl  0.8015  0.7937  0.5495  1 Pb 2.86, 1 Tl 2.90
Cl  0.4061  0.9735  0.7513  1 Pb 2.84, 1 Tl 2.88
Pb  0.0000  0.5000  0.5000  6 Cl 2.84-2.86
Pb  0.5000  0.0000  0.0000  6 Cl 2.84-2.86
Tl  0.5000  0.0000  0.5000  6 Cl 2.88-2.91
Tl  0.0000  0.5000  0.0000  6 Cl 2.88-2.91

Computed properties:
Its calculated volume is 680.3 Å³ per cell. For the raw formation energy, the calculation gives -1.37 eV/atom. For the density of states at the Fermi level, the calculation gives 0.38 states/eV/atom. The energy above the most stable polymorph in this dataset comes out at 0.000 eV per atom.


# 3
DFT (GGA-PBE) results for crystalline Zr2HgPb at its relaxed geometry.

Cell: 3.2058 3.2058 9.5609 Å, 90.00 90.00 90.01°
Last column: nearest neighbours and their distance in Å.
Element x y z (fractional)
Zr  0.5000  0.5000  0.2480  8 Zr 3.16-3.21, 4 Hg 3.16
Zr  0.0000  0.0000  0.0182  8 Zr 3.16-3.21, 4 Pb 3.38
Hg  0.0000  0.0000  0.4783  4 Zr 3.16, 4 Hg 3.21, 4 Pb 3.49
Pb  0.5000  0.5000  0.7555  4 Pb 3.21, 4 Zr 3.38, 4 Hg 3.49

Computed properties:
Its calculated volume is 98.3 Å³ per cell. For the density of states at the Fermi level, the calculation gives 0.94 states/eV/atom. As for the energy relative to the elements: -3.9 kJ/mol of atoms. The energy above the most stable polymorph in this dataset comes out at 0.135 eV per atom.


# 4
DFT (GGA-PBE) results for crystalline AcH3Ru at its relaxed geometry.

Cell: 3.8817 3.8817 3.8817 Å, 90.00 90.00 90.00°
Last column: nearest neighbours and their distance in Å.
Element x y z (fractional)
Ru  0.0000  0.0000  0.0000  6 H 1.94
Ac  0.5000  0.5000  0.5000  12 H 2.74
H  0.0000  0.5000  0.0000  2 Ru 1.94
H  0.5000  0.0000  0.0000  2 Ru 1.94
H  0.0000  0.0000  0.5000  2 Ru 1.94

Computed properties:
Its calculated volume is 58.5 Å³ per cell. The total energy is -25.2 eV per formula unit. For the density of states at the Fermi level, the calculation gives 0.39 states/eV/atom.


# 5
DFT (GGA-PBE) results for crystalline CaDy2Tl2 at its relaxed geometry.

Cell: 5.2812 6.7350 10.5432 Å, 67.26 60.07 67.10°
Last column: nearest neighbours and their distance in Å.
Element x y z (fractional)
Tl  0.9090  0.2726  0.4528  3 Ca 3.15-3.52, 4 Dy 3.15-3.37, 1 Tl 3.28
Tl  0.0910  0.7274  0.5472  3 Ca 3.15-3.52, 4 Dy 3.15-3.37, 1 Tl 3.28
Tl  0.0913  0.7323  0.0424  5 Dy 3.15-3.34, 1 Ca 3.16, 1 Tl 3.22
Tl  0.9087  0.2677  0.9576  5 Dy 3.15-3.34, 1 Ca 3.16, 1 Tl 3.22
Dy  0.4969  0.4957  0.7550  6 Tl 3.30-3.37
Dy  0.2916  0.1297  0.1441  3 Tl 3.15, 1 Dy 3.40, 2 Ca 3.47-3.48
Dy  0.7084  0.8703  0.8559  3 Tl 3.15, 1 Dy 3.40, 2 Ca 3.47-3.48
Dy  0.5031  0.5043  0.2450  6 Tl 3.30-3.37
Ca  0.7146  0.8569  0.3583  4 Tl 3.15-3.52, 2 Dy 3.47-3.48, 1 Ca 3.48
Ca  0.2854  0.1431  0.6417  4 Tl 3.15-3.52, 2 Dy 3.47-3.48, 1 Ca 3.48

Computed properties:
Its calculated volume is 290.6 Å³ per cell. For the density of states at the Fermi level, the calculation gives 0.79 states/eV/atom. As for the energy relative to the elements: -26.9 kJ/mol of atoms. The energy above the most stable polymorph in this dataset comes out at 0.017 eV per atom.


# 6
DFT (GGA-PBE) results for crystalline PrMgPdRu at its relaxed geometry.

Cell: 4.7987 4.7987 4.7987 Å, 60.00 60.00 60.00°
Last column: nearest neighbours and their distance in Å.
Element x y z (fractional)
Ru  0.2500  0.2500  0.2500  4 Mg 2.94, 4 Pr 2.94
Pd  0.7500  0.7500  0.7500  4 Pr 2.94, 4 Mg 2.94
Mg  0.5000  0.5000  0.5000  4 Pd 2.94, 4 Ru 2.94
Pr  0.0000  0.0000  0.0000  4 Ru 2.94, 4 Pd 2.94

Computed properties:
Its calculated volume is 78.1 Å³ per cell. For the density of states at the Fermi level, the calculation gives 0.44 states/eV/atom. As for the energy relative to the elements: -26.3 kJ/mol of atoms.


- Among the records above, which one has the highest calculated volume?
  Rb2TlPbCl6


- Look up the calculated volume of the first one.
  89.1 Å³ per cell


- Which of these has the lowest calculated volume?
  AcH3Ru


Copy entry 1 word for word.
DFT (GGA-PBE) results for crystalline NaCaSn at its relaxed geometry.

Cell: 4.2313 4.2313 5.8074 Å, 111.36 111.36 90.00°
Last column: nearest neighbours and their distance in Å.
Element x y z (fractional)
Ca  0.9414  0.9414  0.8829  5 Na 3.15-3.51, 5 Sn 3.38-3.40
Na  0.6251  0.6251  0.2502  5 Ca 3.15-3.51, 5 Sn 3.38-3.40
Sn  0.2834  0.2834  0.5669  5 Ca 3.38-3.40, 5 Na 3.38-3.40

Computed properties:
Its calculated volume is 89.1 Å³ per cell. For the density of states at the Fermi level, the calculation gives 0.53 states/eV/atom. As for the energy relative to the elements: -28.8 kJ/mol of atoms.